(1)
Entry from Alexandria: a relaxed FeCo2Ag crystal (GGA-PBE).

Properties
ΔH_f (0 K) (eV/atom): 0.242
Calculated density (g/cm³): 8.90
Crystal system: orthorhombic
Total magnetic moment (μB/atom): 1.552
Density of states at the Fermi level (states/eV per atom): 0.836
DFT total energy (eV/atom): -6.14

Cell and atoms, written as extended XYZ:
```
4
Lattice="-0.712 -0.278 2.465 2.572 -0.040 -0.204 0.209 8.352 1.004" Properties=species:S:1:pos:R:3 pbc="T T T"
Fe 0.982 1.929 1.381
Ag 1.087 6.105 1.883
Co 0.005 0.206 0.025
Co 0.099 3.970 0.477
```


(2)
Entry from Alexandria: a relaxed V2CuPt crystal (GGA-PBE).

Properties
ΔH_f (0 K) (eV/atom): 0.264
Calculated density (g/cm³): 10.04
Crystal system: tetragonal
Total magnetic moment (μB/atom): 0.000
Density of states at the Fermi level (states/eV per atom): 1.404
DFT total energy (eV/atom): -6.83

Cell and atoms, written as extended XYZ:
```
8
Lattice="6.920 0.000 0.000 0.000 6.920 0.000 3.460 3.460 2.490" Properties=species:S:1:pos:R:3 pbc="T T T"
V 5.190 5.137 1.868
V 5.242 1.730 0.623
V 8.650 8.702 1.868
V 1.677 5.190 0.623
Cu 3.460 6.920 1.245
Cu 3.460 3.460 0.000
Pt 0.000 0.000 0.000
Pt 6.920 3.460 1.245
```


(3)
Entry from Alexandria: a relaxed BeGa3Fe crystal (GGA-PBE).

Properties
ΔH_f (0 K) (eV/atom): 0.637
Calculated density (g/cm³): 5.16
Crystal system: cubic
Total magnetic moment (μB/atom): 0.650
Density of states at the Fermi level (states/eV per atom): 1.396
DFT total energy (eV/atom): -3.62

Cell and atoms, written as extended XYZ:
```
5
Lattice="-3.708 -0.052 -2.463 2.257 -1.856 -3.359 -0.988 -4.047 1.572" Properties=species:S:1:pos:R:3 pbc="T T T"
Be 0.000 0.000 0.000
Ga 1.129 -0.928 -1.680
Ga -1.854 -0.026 -1.232
Ga -0.494 -2.023 0.786
Fe -1.219 -2.977 -2.125
```